# 1
VASP calculation (PBE) on a relaxed EuTmMgZn crystal.

Values from the calculation:
**D(E_F)**: 4.1 states/eV/cell
**VASP energy**: -18.06 eV for the cell shown
**Total magnetic moment**: 1.810 μB per atom

a = 5.2860 Å, b = 5.2860 Å, c = 5.2860 Å
α = 60.00°, β = 60.00°, γ = 60.00°
Last column: magnetic moment on the atom in μB.
Element x y z (fractional)
Eu 0.7500 0.7500 0.7500  6.83
Zn 0.0000 0.0000 0.0000  0.01
Tm 0.2500 0.2500 0.2500  0.07
Mg 0.5000 0.5000 0.5000  0.00

---

# 2
VASP calculation (PBE) on a relaxed EuYMg4 crystal.

Values from the calculation:
**D(E_F)**: 5.2 states/eV/cell
**VASP energy**: -23.64 eV for the cell shown
**Total magnetic moment**: 1.195 μB per atom

a = 6.1472 Å, b = 6.1472 Å, c = 6.1472 Å
α = 60.00°, β = 60.00°, γ = 60.00°
Last column: magnetic moment on the atom in μB.
Element x y z (fractional)
Eu 0.2500 0.2500 0.2500  6.85
Y 0.0000 0.0000 0.0000  0.02
Mg 0.6257 0.6257 0.1230  0.00
Mg 0.6257 0.1230 0.6257  0.00
Mg 0.6257 0.6257 0.6257  0.00
Mg 0.1230 0.6257 0.6257  0.00